CeSi2Pt4 | PBE | relaxed

Cell: 4.1244 4.1186 7.3227 Å, 106.33 90.00 90.00°
With the nearest neighbours (Å) after each atom.
Fractional positions:
Pt 0.5000 0.8253 0.6506  2 Si 2.42
Pt 0.0000 0.6725 0.3450  2 Si 2.41
Pt 0.0000 0.3275 0.6550  2 Si 2.41
Pt 0.5000 0.1747 0.3494  2 Si 2.42
Si 0.5000 0.5840 0.1680  1 Si 2.36, 4 Pt 2.41-2.42
Si 0.5000 0.4160 0.8320  1 Si 2.36, 4 Pt 2.41-2.42
Ce 0.0000 0.0000 0.0000  8 Si 3.14, 8 Pt 3.18-3.21

## Properties
Calculated volume in Å³ per atom: 17.05
Formation energy without anion corrections in kJ/mol of formula units: -565
E above lowest polymorph in kJ/mol of formula units: 17
Energy in eV per atom: -6.686

***

HoNiSe2 | PBE | relaxed

Cell: 3.6239 3.6239 8.3860 Å, 77.52 77.52 60.00°
With the nearest neighbours (Å) after each atom.
Fractional positions:
Se 0.8853 0.8853 0.3441  3 Ni 2.45
Se 0.1147 0.1147 0.6559  3 Ni 2.45
Ni 0.5000 0.5000 0.5000  6 Se 2.45
Ho 0.0000 0.0000 0.0000  2 Se 2.79

## Properties
Calculated volume in Å³ per atom: 23.09
Formation energy without anion corrections in kJ/mol of formula units: -142
Energy in eV per atom: -4.700

***

Cs2TlAgBr6 | PBE | relaxed

Cell: 7.9879 7.9879 7.9879 Å, 60.00 60.00 60.00°
With the nearest neighbours (Å) after each atom.
Fractional positions:
Cs 0.7500 0.7500 0.7500  12 Br 3.99
Cs 0.2500 0.2500 0.2500  12 Br 3.99
Br 0.7475 0.2525 0.2525  1 Ag 2.80, 1 Tl 2.85
Br 0.2525 0.7475 0.2525  1 Ag 2.80, 1 Tl 2.85
Br 0.7475 0.2525 0.7475  1 Ag 2.80, 1 Tl 2.85
Br 0.2525 0.7475 0.7475  1 Ag 2.80, 1 Tl 2.85
Br 0.2525 0.2525 0.7475  1 Ag 2.80, 1 Tl 2.85
Br 0.7475 0.7475 0.2525  1 Ag 2.80, 1 Tl 2.85
Ag 0.5000 0.5000 0.5000  6 Br 2.80
Tl 0.0000 0.0000 0.0000  6 Br 2.85

## Properties
Calculated volume in Å³ per atom: 36.04
Formation energy without anion corrections in kJ/mol of formula units: -984
Energy in eV per atom: -2.716

***

Cs2RbClF | PBE | relaxed

Cell: 6.2949 6.2949 5.5510 Å, 90.00 90.00 90.00°
With the nearest neighbours (Å) after each atom.
Fractional positions:
Cl 0.5000 0.5000 0.5000  8 Cs 4.20, 4 Rb 4.45
Rb 0.0000 0.0000 0.5000  2 F 2.78
F 0.0000 0.0000 0.0000  2 Rb 2.78
Cs 0.0000 0.5000 0.0000  2 F 3.15
Cs 0.5000 0.0000 0.0000  2 F 3.15

## Properties
Calculated volume in Å³ per atom: 43.99
Formation energy without anion corrections in kJ/mol of formula units: -772
Energy in eV per atom: -2.879

***

SrTl2TcAs | PBE | relaxed

Cell: 6.0359 5.1367 6.0359 Å, 90.00 90.00 90.00°
With the nearest neighbours (Å) after each atom.
Fractional positions:
Tc 0.0000 0.5000 0.0000  2 Sr 2.57
As 0.5000 0.5000 0.5000  8 Tl 3.96, 4 Tc 4.27
Tl 0.5000 0.0000 0.0000  2 Sr 3.02
Tl 0.0000 0.0000 0.5000  2 Sr 3.02
Sr 0.0000 0.0000 0.0000  2 Tc 2.57

## Properties
Calculated volume in Å³ per atom: 37.43
Formation energy from the elements in eV per atom: 1.581
Energy in eV per atom: -2.705

***

Ag5BiAu6 | PBE | relaxed

Cell: 4.1967 7.9538 7.9538 Å, 107.30 105.25 105.25°
With the nearest neighbours (Å) after each atom.
Fractional positions:
Bi 0.0000 0.0000 0.0000  8 Au 3.06-3.07, 4 Ag 3.06
Au 0.2558 0.4247 0.0857  7 Ag 2.88-3.01, 4 Au 2.94-3.02, 1 Bi 3.06
Au 0.2351 0.7363 0.7363  6 Ag 2.90-3.15, 4 Au 3.02, 2 Bi 3.06-3.07
Au 0.2558 0.0857 0.4247  7 Ag 2.88-3.01, 4 Au 2.94-3.02, 1 Bi 3.06
Au 0.7442 0.5753 0.9143  7 Ag 2.88-3.01, 4 Au 2.94-3.02, 1 Bi 3.06
Au 0.7649 0.2637 0.2637  6 Ag 2.90-3.15, 4 Au 3.02, 2 Bi 3.06-3.07
Au 0.7442 0.9143 0.5753  7 Ag 2.88-3.01, 4 Au 2.94-3.02, 1 Bi 3.06
Ag 0.0000 0.6665 0.3335  8 Au 2.92-3.01, 4 Ag 2.93-2.99
Ag 0.5000 0.5000 0.5000  8 Au 2.90-3.00, 4 Ag 2.99
Ag 0.5000 0.8260 0.1740  8 Au 2.88-3.15, 2 Ag 2.93, 2 Bi 3.06
Ag 0.5000 0.1740 0.8260  8 Au 2.88-3.15, 2 Ag 2.93, 2 Bi 3.06
Ag 0.0000 0.3335 0.6665  8 Au 2.92-3.01, 4 Ag 2.93-2.99

## Properties
Calculated volume in Å³ per atom: 18.93
Formation energy from the elements in eV per atom: -0.010
Energy in eV per atom: -3.161

***

Cs2TiCl6F | PBE | relaxed

Cell: 7.2903 7.2903 7.6247 Å, 61.44 61.44 90.00°
With the nearest neighbours (Å) after each atom.
Fractional positions:
Cl 0.2293 0.7707 0.0000  1 Ti 2.36
Cl 0.7902 0.7902 0.4196  1 Ti 2.36
Cl 0.2098 0.2098 0.5804  1 Ti 2.36
Cl 0.2293 0.2293 0.0000  1 Ti 2.36
Cl 0.7707 0.2293 0.0000  1 Ti 2.36
Cl 0.7707 0.7707 0.0000  1 Ti 2.36
Ti 0.0000 0.0000 0.0000  6 Cl 2.36
Cs 0.2500 0.7500 0.5000  12 Cl 3.67-3.82
Cs 0.7500 0.2500 0.5000  12 Cl 3.67-3.82
F 0.5000 0.5000 0.0000  4 Cl 2.79

## Properties
Calculated volume in Å³ per atom: 29.86
Formation energy without anion corrections in kJ/mol of formula units: -1540
Energy in eV per atom: -3.851

***

MgTiHgPd2 | PBE | relaxed

Cell: 4.6097 5.0376 4.6097 Å, 90.00 90.00 90.00°
With the nearest neighbours (Å) after each atom.
Fractional positions:
Ti 0.0000 0.5000 0.0000  2 Mg 2.52
Mg 0.0000 0.0000 0.0000  4 Pd 2.30, 2 Ti 2.52
Hg 0.5000 0.5000 0.5000  4 Ti 3.26, 8 Pd 3.41
Pd 0.0000 0.0000 0.5000  2 Mg 2.30
Pd 0.5000 0.0000 0.0000  2 Mg 2.30

## Properties
Calculated volume in Å³ per atom: 21.41
Formation energy from the elements in eV per atom: 0.649
Energy in eV per atom: -3.386

***

LaIrRu2 | PBE | relaxed

Cell: 2.9485 2.9485 8.0809 Å, 90.00 90.00 90.00°
With the nearest neighbours (Å) after each atom.
Fractional positions:
Ru 0.0000 0.0000 0.0464  4 Ru 2.63
Ru 0.5000 0.5000 0.2448  4 Ru 2.63, 4 Ir 2.71
Ir 0.0000 0.0000 0.4581  4 Ru 2.71, 4 Ir 2.95
La 0.5000 0.5000 0.7507  4 La 2.95, 4 Ir 3.15, 4 Ru 3.17

## Properties
Calculated volume in Å³ per atom: 17.56
Formation energy from the elements in eV per atom: 0.151
E above lowest polymorph in kJ/mol of formula units: 4
Energy in eV per atom: -7.934

***

NaCa2TlI6 | PBE | relaxed

Cell: 8.2469 8.2471 8.6809 Å, 61.63 61.63 60.00°
With the nearest neighbours (Å) after each atom.
Fractional positions:
I 0.3650 0.7394 0.7439  2 Ca 3.13-3.18, 1 Na 3.31, 1 Tl 3.46
I 0.8950 0.6211 0.2363  2 Ca 3.16-3.19, 1 Na 3.28
I 0.2477 0.8950 0.2362  2 Ca 3.16-3.19, 1 Na 3.28
I 0.6211 0.2477 0.2362  2 Ca 3.16-3.19, 1 Na 3.28
I 0.1516 0.3650 0.7440  2 Ca 3.13-3.18, 1 Na 3.31, 1 Tl 3.46
I 0.7394 0.1516 0.7440  2 Ca 3.13-3.18, 1 Na 3.31, 1 Tl 3.46
Tl 0.8076 0.8076 0.5773  6 I 3.46-3.58
Ca 0.0065 0.0065 0.9805  6 I 3.13-3.19
Ca 0.5113 0.5112 0.4662  6 I 3.16-3.18
Na 0.3164 0.3164 0.0506  6 I 3.28-3.31

## Properties
Calculated volume in Å³ per atom: 42.75
Formation energy without anion corrections in kJ/mol of formula units: -1279
Energy in eV per atom: -3.024

***

Pu2CrTcGe6 | PBE | relaxed

Cell: 6.0920 6.0920 12.6786 Å, 76.10 76.10 60.00°
With the nearest neighbours (Å) after each atom.
Fractional positions:
Ge 0.7808 0.7808 0.1353  1 Cr 2.37, 1 Tc 2.47
Ge 0.2192 0.2192 0.8647  1 Cr 2.37, 1 Tc 2.47
Ge 0.2192 0.6968 0.8647  1 Cr 2.37, 1 Tc 2.47
Ge 0.6569 0.6569 0.6169  1 Cr 2.46, 1 Tc 2.51, 2 Ge 2.51
Ge 0.3431 0.9308 0.3831  1 Cr 2.46, 1 Tc 2.51, 2 Ge 2.51
Ge 0.9308 0.3431 0.3831  1 Cr 2.46, 1 Tc 2.51, 2 Ge 2.51
Ge 0.7808 0.3032 0.1353  1 Cr 2.37, 1 Tc 2.47
Ge 0.3431 0.3431 0.3831  1 Cr 2.46, 1 Tc 2.51, 2 Ge 2.51
Ge 0.3032 0.7808 0.1353  1 Cr 2.37, 1 Tc 2.47
Ge 0.6968 0.2192 0.8647  1 Cr 2.37, 1 Tc 2.47
Ge 0.6569 0.0692 0.6169  1 Cr 2.46, 1 Tc 2.51, 2 Ge 2.51
Ge 0.0692 0.6569 0.6169  1 Cr 2.46, 1 Tc 2.51, 2 Ge 2.51
Cr 0.5757 0.5757 0.2730  6 Ge 2.37-2.46
Cr 0.4243 0.4243 0.7270  6 Ge 2.37-2.46
Pu 0.6993 0.6993 0.9020  9 Ge 3.08-3.30
Pu 0.8758 0.8758 0.3727  12 Ge 3.06-3.43
Pu 0.3007 0.3007 0.0980  9 Ge 3.08-3.30
Pu 0.1242 0.1242 0.6273  12 Ge 3.06-3.43
Tc 0.0000 0.0000 0.0000  6 Ge 2.47
Tc 0.5000 0.5000 0.5000  6 Ge 2.51, 2 Cr 2.76

## Properties
Calculated volume in Å³ per atom: 19.57
Formation energy from the elements in eV per atom: -0.188
Energy in eV per atom: -7.824

***

MnCdHN | PBE | relaxed

Cell: 3.3591 3.0365 4.5448 Å, 90.00 90.00 90.00°
With the nearest neighbours (Å) after each atom.
Fractional positions:
N 0.0000 0.5000 0.0527  2 Mn 1.75
Cd 0.5000 0.5000 0.6512  4 H 2.28, 2 N 2.48
Mn 0.0000 0.0000 0.2456  1 H 1.58, 2 N 1.75
H 0.0000 0.0000 0.5940  1 Mn 1.58

## Properties
Calculated volume in Å³ per atom: 11.59
E above lowest polymorph in kJ/mol of formula units: 134
Energy in eV per atom: -5.137